No. 1
Entry from the Alexandria database: a relaxed MnHIrPt2 crystal (PBE).

a b c (Å): 3.9969 3.9969 3.9400
angles (deg): 90.00 90.00 90.00
Closest atoms and distances in Å follow each position.
Atoms (fractional coordinates):
Mn 0.0000 0.0000 0.0000  8 Pt 2.81, 4 Ir 2.83
H 0.5000 0.5000 0.5000  2 Ir 1.97, 4 Pt 2.00
Ir 0.5000 0.5000 0.0000  2 H 1.97
Pt 0.0000 0.5000 0.5000  2 H 2.00
Pt 0.5000 0.0000 0.5000  2 H 2.00

Computed properties:
As for the space group: P4/mmm. The excess energy over the best structure of this formula in the dataset is 0 meV/atom.

No. 2
Entry from the Alexandria database: a relaxed RbMnHIr2 crystal (PBE).

a b c (Å): 4.4262 4.4262 6.9123
angles (deg): 90.00 90.00 90.00
Closest atoms and distances in Å follow each position.
Atoms (fractional coordinates):
Rb 0.0000 0.0000 0.0000  4 H 3.13, 2 Mn 3.46
Mn 0.0000 0.0000 0.5000  4 Ir 2.21
H 0.5000 0.5000 0.0000  4 Rb 3.13
Ir 0.0000 0.5000 0.5000  2 Mn 2.21
Ir 0.5000 0.0000 0.5000  2 Mn 2.21

Computed properties:
As for the space group: P4/mmm.

No. 3
Entry from the Alexandria database: a relaxed MnReHIr2 crystal (PBE).

a b c (Å): 3.8759 3.8759 3.8949
angles (deg): 90.00 90.00 90.00
Closest atoms and distances in Å follow each position.
Atoms (fractional coordinates):
Mn 0.0000 0.0000 0.0000  2 H 1.95
Re 0.5000 0.5000 0.0000  4 Mn 2.74, 8 Ir 2.75
H 0.0000 0.0000 0.5000  4 Ir 1.94, 2 Mn 1.95
Ir 0.0000 0.5000 0.5000  2 H 1.94
Ir 0.5000 0.0000 0.5000  2 H 1.94

Computed properties:
As for the space group: P4/mmm.

No. 4
Entry from the Alexandria database: a relaxed Mn2HIrRh crystal (PBE).

a b c (Å): 3.8003 3.8003 3.7357
angles (deg): 90.00 90.00 90.00
Closest atoms and distances in Å follow each position.
Atoms (fractional coordinates):
Mn 0.0000 0.5000 0.0000  2 H 1.90
Mn 0.5000 0.0000 0.0000  2 H 1.90
H 0.0000 0.0000 0.0000  2 Rh 1.87, 4 Mn 1.90
Ir 0.5000 0.5000 0.5000  8 Mn 2.66, 4 Rh 2.69
Rh 0.0000 0.0000 0.5000  2 H 1.87

Computed properties:
As for the space group: P4/mmm. The excess energy over the best structure of this formula in the dataset is 0 meV/atom.

No. 5
Entry from the Alexandria database: a relaxed MnHIr2Rh crystal (PBE).

a b c (Å): 3.8764 3.8764 3.9072
angles (deg): 90.00 90.00 90.00
Closest atoms and distances in Å follow each position.
Atoms (fractional coordinates):
Mn 0.0000 0.0000 0.0000  2 H 1.95
H 0.0000 0.0000 0.5000  4 Ir 1.94, 2 Mn 1.95
Ir 0.0000 0.5000 0.5000  2 H 1.94
Ir 0.5000 0.0000 0.5000  2 H 1.94
Rh 0.5000 0.5000 0.0000  4 Mn 2.74, 8 Ir 2.75

Computed properties:
As for the space group: P4/mmm. The excess energy over the best structure of this formula in the dataset is 16 meV/atom.

No. 6
Entry from the Alexandria database: a relaxed Mn2HIrRh crystal (PBE).

a b c (Å): 3.8121 3.8121 3.7430
angles (deg): 90.00 90.00 90.00
Closest atoms and distances in Å follow each position.
Atoms (fractional coordinates):
Mn 0.0000 0.5000 0.0000  2 H 1.91
Mn 0.5000 0.0000 0.0000  2 H 1.91
H 0.0000 0.0000 0.0000  2 Ir 1.87, 4 Mn 1.91
Ir 0.0000 0.0000 0.5000  2 H 1.87
Rh 0.5000 0.5000 0.5000  8 Mn 2.67, 4 Ir 2.70

Computed properties:
As for the space group: P4/mmm. The excess energy over the best structure of this formula in the dataset is 24 meV/atom.

No. 7
Entry from the Alexandria database: a relaxed MnHIr2Rh crystal (PBE).

a b c (Å): 3.9030 3.9030 3.8834
angles (deg): 90.00 90.00 90.00
Closest atoms and distances in Å follow each position.
Atoms (fractional coordinates):
Mn 0.0000 0.0000 0.0000  8 Ir 2.75, 4 Rh 2.76
H 0.5000 0.5000 0.5000  2 Rh 1.94, 4 Ir 1.95
Ir 0.0000 0.5000 0.5000  2 H 1.95
Ir 0.5000 0.0000 0.5000  2 H 1.95
Rh 0.5000 0.5000 0.0000  2 H 1.94

Computed properties:
As for the space group: P4/mmm. The excess energy over the best structure of this formula in the dataset is 0 meV/atom.

No. 8
Entry from the Alexandria database: a relaxed MnHIrRu2 crystal (PBE).

a b c (Å): 3.8547 3.8547 3.8766
angles (deg): 90.00 90.00 90.00
Closest atoms and distances in Å follow each position.
Atoms (fractional coordinates):
Mn 0.0000 0.0000 0.0000  4 Ir 2.73, 8 Ru 2.73
H 0.5000 0.5000 0.5000  4 Ru 1.93, 2 Ir 1.94
Ir 0.5000 0.5000 0.0000  2 H 1.94
Ru 0.0000 0.5000 0.5000  2 H 1.93
Ru 0.5000 0.0000 0.5000  2 H 1.93

Computed properties:
As for the space group: P4/mmm. The excess energy over the best structure of this formula in the dataset is 0 meV/atom.

E_tot: -6.753; -4.783; -8.503; -7.623; -7.534; -7.599; -7.550; -7.950 (eV per atom)